Record 1
# Na2TmTlI6 PBE relaxed
data_Na2TmTlI6
_chemical_formula_sum 'Na6 Tm3 Tl3 I18'
_symmetry_space_group_name_H-M 'R 3'
_symmetry_Int_Tables_number 146
_symmetry_space_group_name_Hall 'R 3'
_cell_length_a 8.1109
_cell_length_b 8.1109
_cell_length_c 22.3329
_cell_angle_alpha 90.00
_cell_angle_beta 90.00
_cell_angle_gamma 120.00
loop_
_atom_site_label
_atom_site_type_symbol
_atom_site_fract_x
_atom_site_fract_y
_atom_site_fract_z
_atom_site_occupancy
Na1 Na 0.0000 0.0000 0.0000 1
Na2 Na 0.0000 0.0000 0.4863 1
Tm1 Tm 0.0000 0.0000 0.6742 1
Tl1 Tl 0.0000 0.0000 0.1868 1
I1 I 0.0069 0.3150 0.7475 1
I2 I 0.0262 0.6376 0.2571 1
# V, Å³/cell: 1272.5
# Crystal system: trigonal
# Formation energy without anion corrections, kJ/mol of formula units: -1131
# Size of the total moment, μB/f.u.: 0.00
# DOS at the Fermi energy, states/eV/f.u.: 0.0
# DFT total energy, eV per formula unit: -30.50

---

Record 2
# NaUTlI6 PBE relaxed
data_NaUTlI6
_chemical_formula_sum 'Na2 U2 Tl2 I12'
_symmetry_space_group_name_H-M 'P -3 1 c'
_symmetry_Int_Tables_number 163
_symmetry_space_group_name_Hall '-P 3 2c'
_cell_length_a 8.0906
_cell_length_b 8.0906
_cell_length_c 15.0325
_cell_angle_alpha 90.00
_cell_angle_beta 90.00
_cell_angle_gamma 120.00
loop_
_atom_site_label
_atom_site_type_symbol
_atom_site_fract_x
_atom_site_fract_y
_atom_site_fract_z
_atom_site_occupancy
Na1 Na 0.3333 0.6667 0.2500 1
U1 U 0.3333 0.6667 0.7500 1
Tl1 Tl 0.0000 0.0000 0.0000 1
I1 I 0.0210 0.3712 0.6328 1
# V, Å³/cell: 852.2
# Crystal system: trigonal
# Formation energy without anion corrections, kJ/mol of formula units: -767
# Size of the total moment, μB/f.u.: 2.00
# DOS at the Fermi energy, states/eV/f.u.: 11.7
# DFT total energy, eV per formula unit: -32.22

---

Record 3
# Na2TlVI PBE relaxed
data_Na2TlVI
_chemical_formula_sum 'Na2 Tl1 V1 I1'
_symmetry_space_group_name_H-M 'P 4/m m m'
_symmetry_Int_Tables_number 123
_symmetry_space_group_name_Hall '-P 4 2'
_cell_length_a 5.857
_cell_length_b 5.857
_cell_length_c 5.274
_cell_angle_alpha 90.00
_cell_angle_beta 90.00
_cell_angle_gamma 90.00
loop_
_atom_site_label
_atom_site_type_symbol
_atom_site_fract_x
_atom_site_fract_y
_atom_site_fract_z
_atom_site_occupancy
Na1 Na 0.000 0.500 0.000 1
Tl1 Tl 0.000 0.000 0.500 1
V1 V 0.500 0.500 0.500 1
I1 I 0.500 0.500 0.000 1
# V, Å³/cell: 180.9
# Crystal system: tetragonal
# Formation energy without anion corrections, kJ/mol of formula units: 194
# Size of the total moment, μB/f.u.: 3.87
# DOS at the Fermi energy, states/eV/f.u.: 4.5
# DFT total energy, eV per formula unit: -13.66

---

Record 4
# NaTlVI6 PBE relaxed
data_NaTlVI6
_chemical_formula_sum 'Na2 Tl2 V2 I12'
_symmetry_space_group_name_H-M 'C 1 2 1'
_symmetry_Int_Tables_number 5
_symmetry_space_group_name_Hall 'C 2y'
_cell_length_a 7.860
_cell_length_b 13.646
_cell_length_c 6.968
_cell_angle_alpha 90.00
_cell_angle_beta 90.05
_cell_angle_gamma 90.00
loop_
_atom_site_label
_atom_site_type_symbol
_atom_site_fract_x
_atom_site_fract_y
_atom_site_fract_z
_atom_site_occupancy
Na1 Na 0.000 0.000 0.000 1
Tl1 Tl 0.000 0.666 0.500 1
V1 V 0.000 0.333 0.000 1
I1 I 0.128 0.188 0.770 1
I2 I 0.154 0.470 0.770 1
I3 I 0.217 0.841 0.770 1
# V, Å³/cell: 747.4
# Crystal system: monoclinic
# Formation energy without anion corrections, kJ/mol of formula units: -496
# Size of the total moment, μB/f.u.: 0.95
# DOS at the Fermi energy, states/eV/f.u.: 6.4
# DFT total energy, eV per formula unit: -27.25

---

Record 5
# Na2YTlI6 PBE relaxed
data_Na2YTlI6
_chemical_formula_sum 'Na6 Y3 Tl3 I18'
_symmetry_space_group_name_H-M 'R 3'
_symmetry_Int_Tables_number 146
_symmetry_space_group_name_Hall 'R 3'
_cell_length_a 8.1393
_cell_length_b 8.1393
_cell_length_c 22.4210
_cell_angle_alpha 90.00
_cell_angle_beta 90.00
_cell_angle_gamma 120.00
loop_
_atom_site_label
_atom_site_type_symbol
_atom_site_fract_x
_atom_site_fract_y
_atom_site_fract_z
_atom_site_occupancy
Na1 Na 0.0000 0.0000 0.0000 1
Na2 Na 0.0000 0.0000 0.4868 1
Y1 Y 0.0000 0.0000 0.6748 1
Tl1 Tl 0.0000 0.0000 0.1876 1
I1 I 0.0079 0.3195 0.7481 1
I2 I 0.0240 0.6354 0.2565 1
# V, Å³/cell: 1286.6
# Crystal system: trigonal
# Formation energy without anion corrections, kJ/mol of formula units: -1145
# Size of the total moment, μB/f.u.: 0.00
# DOS at the Fermi energy, states/eV/f.u.: 0.0
# DFT total energy, eV per formula unit: -32.64

---

Record 6
# NaYTl2I6 PBE relaxed
data_NaYTl2I6
_chemical_formula_sum 'Na3 Y3 Tl6 I18'
_symmetry_space_group_name_H-M 'R 3'
_symmetry_Int_Tables_number 146
_symmetry_space_group_name_Hall 'R 3'
_cell_length_a 8.4753
_cell_length_b 8.4753
_cell_length_c 21.5261
_cell_angle_alpha 90.00
_cell_angle_beta 90.00
_cell_angle_gamma 120.00
loop_
_atom_site_label
_atom_site_type_symbol
_atom_site_fract_x
_atom_site_fract_y
_atom_site_fract_z
_atom_site_occupancy
Na1 Na 0.0000 0.0000 0.0000 1
Y1 Y 0.0000 0.0000 0.4948 1
Tl1 Tl 0.0000 0.0000 0.2896 1
Tl2 Tl 0.0000 0.0000 0.7957 1
I1 I 0.0077 0.4071 0.2398 1
I2 I 0.0737 0.7170 0.0759 1
# V, Å³/cell: 1339.1
# Crystal system: trigonal
# Formation energy without anion corrections, kJ/mol of formula units: -1034
# Size of the total moment, μB/f.u.: 0.00
# DOS at the Fermi energy, states/eV/f.u.: 0.0
# DFT total energy, eV per formula unit: -32.53

---

Record 7
# NaTlZnI4 PBE relaxed
data_NaTlZnI4
_chemical_formula_sum 'Na2 Tl2 Zn2 I8'
_symmetry_space_group_name_H-M 'P 1 21/m 1'
_symmetry_Int_Tables_number 11
_symmetry_space_group_name_Hall '-P 2yb'
_cell_length_a 7.710
_cell_length_b 8.175
_cell_length_c 9.307
_cell_angle_alpha 90.00
_cell_angle_beta 106.89
_cell_angle_gamma 90.00
loop_
_atom_site_label
_atom_site_type_symbol
_atom_site_fract_x
_atom_site_fract_y
_atom_site_fract_z
_atom_site_occupancy
Na1 Na 0.237 0.250 0.062 1
Tl1 Tl 0.225 0.250 0.555 1
Zn1 Zn 0.234 0.750 0.817 1
I1 I 0.004 0.001 0.767 1
I2 I 0.427 0.750 0.627 1
I3 I 0.444 0.750 0.094 1
# V, Å³/cell: 561.2
# Crystal system: monoclinic
# Formation energy without anion corrections, kJ/mol of formula units: -529
# Size of the total moment, μB/f.u.: 0.00
# DOS at the Fermi energy, states/eV/f.u.: 0.0
# DFT total energy, eV per formula unit: -16.64

---

Record 8
# Na3TlZn4I12 PBE relaxed
data_Na3TlZn4I12
_chemical_formula_sum 'Na9 Tl3 Zn12 I36'
_symmetry_space_group_name_H-M 'R 3 2'
_symmetry_Int_Tables_number 155
_symmetry_space_group_name_Hall 'R 3 2"'
_cell_length_a 16.0570
_cell_length_b 16.0570
_cell_length_c 12.4864
_cell_angle_alpha 90.00
_cell_angle_beta 90.00
_cell_angle_gamma 120.00
loop_
_atom_site_label
_atom_site_type_symbol
_atom_site_fract_x
_atom_site_fract_y
_atom_site_fract_z
_atom_site_occupancy
Na1 Na 0.0000 0.5454 0.0000 1
Tl1 Tl 0.0000 0.0000 0.0000 1
Zn1 Zn 0.0000 0.0000 0.5000 1
Zn2 Zn 0.0000 0.4445 0.5000 1
I1 I 0.0000 0.6034 0.5000 1
I2 I 0.0000 0.8420 0.5000 1
I3 I 0.0417 0.2110 0.1668 1
# V, Å³/cell: 2788.0
# Crystal system: trigonal
# Formation energy without anion corrections, kJ/mol of formula units: -1409
# Size of the total moment, μB/f.u.: 0.00
# DOS at the Fermi energy, states/eV/f.u.: 0.0
# DFT total energy, eV per formula unit: -44.62

---

Record 9
# Na3Tl3ZnI8 PBE relaxed
data_Na3Tl3ZnI8
_chemical_formula_sum 'Na9 Tl9 Zn3 I24'
_symmetry_space_group_name_H-M 'R -3 m'
_symmetry_Int_Tables_number 166
_symmetry_space_group_name_Hall '-R 3 2"'
_cell_length_a 9.3088
_cell_length_b 9.3088
_cell_length_c 24.4963
_cell_angle_alpha 90.00
_cell_angle_beta 90.00
_cell_angle_gamma 120.00
loop_
_atom_site_label
_atom_site_type_symbol
_atom_site_fract_x
_atom_site_fract_y
_atom_site_fract_z
_atom_site_occupancy
Na1 Na 0.0000 0.5000 0.0000 1
Tl1 Tl 0.0000 0.5000 0.5000 1
Zn1 Zn 0.0000 0.0000 0.0000 1
I1 I 0.0000 0.0000 0.2594 1
I2 I 0.0340 0.5170 0.7342 1
# V, Å³/cell: 1838.4
# Crystal system: trigonal
# Formation energy without anion corrections, kJ/mol of formula units: -1216
# Size of the total moment, μB/f.u.: 0.00
# DOS at the Fermi energy, states/eV/f.u.: 0.0
# DFT total energy, eV per formula unit: -37.34

---

Record 10
# NaTlZn2I6 PBE relaxed
data_NaTlZn2I6
_chemical_formula_sum 'Na4 Tl4 Zn8 I24'
_symmetry_space_group_name_H-M 'C 1 2/c 1'
_symmetry_Int_Tables_number 15
_symmetry_space_group_name_Hall '-C 2yc'
_cell_length_a 15.135
_cell_length_b 14.817
_cell_length_c 7.677
_cell_angle_alpha 90.00
_cell_angle_beta 100.28
_cell_angle_gamma 90.00
loop_
_atom_site_label
_atom_site_type_symbol
_atom_site_fract_x
_atom_site_fract_y
_atom_site_fract_z
_atom_site_occupancy
Na1 Na 0.000 0.210 0.250 1
Tl1 Tl 0.000 0.399 0.750 1
Zn1 Zn 0.200 0.082 0.776 1
I1 I 0.124 0.404 0.179 1
I2 I 0.127 0.226 0.617 1
I3 I 0.145 0.068 0.092 1
# V, Å³/cell: 1693.9
# Crystal system: monoclinic
# Formation energy without anion corrections, kJ/mol of formula units: -686
# Size of the total moment, μB/f.u.: 0.00
# DOS at the Fermi energy, states/eV/f.u.: 0.0
# DFT total energy, eV per formula unit: -22.64